1.
# Cr2ReSe (PBE, relaxed)
data_Cr2ReSe
_space_group_name_H-M_alt 'P 1'
_space_group_IT_number 1
_space_group_name_Hall 'P 1'
_cell_length_a 6.5663
_cell_length_b 6.5663
_cell_length_c 6.5663
_cell_angle_alpha 128.66
_cell_angle_beta 128.66
_cell_angle_gamma 75.56
loop_
_atom_site_label
_atom_site_fract_x
_atom_site_fract_y
_atom_site_fract_z
Cr1 0.1172 0.6250 0.9922
Cr2 0.3750 0.3672 0.4922
Cr3 0.6328 0.1250 0.0078
Cr4 0.8750 0.8828 0.5078
Re1 0.0000 0.0000 0.0000
Re2 0.7500 0.2500 0.5000
Se1 0.2500 0.7500 0.5000
Se2 0.5000 0.5000 0.0000
# - raw formation energy (meV/atom) = 880
# - crystal system = tetragonal
# - raw total energy (eV per formula unit) = -31.66

=====

2.
# PmErScPb (PBE, relaxed)
data_PmErScPb
_space_group_name_H-M_alt 'P 1'
_space_group_IT_number 1
_space_group_name_Hall 'P 1'
_cell_length_a 5.3651
_cell_length_b 5.3651
_cell_length_c 5.3651
_cell_angle_alpha 60.00
_cell_angle_beta 60.00
_cell_angle_gamma 60.00
loop_
_atom_site_label
_atom_site_fract_x
_atom_site_fract_y
_atom_site_fract_z
Pm1 0.0000 0.0000 0.0000
Er1 0.2500 0.2500 0.2500
Sc1 0.7500 0.7500 0.7500
Pb1 0.5000 0.5000 0.5000
# - crystal system = cubic
# - raw total energy (eV per formula unit) = -19.64
# - E_form (eV per atom) = -0.07

=====

3.
# Na2TlF6 (PBE, relaxed)
data_Na2TlF6
_space_group_name_H-M_alt 'P 1'
_space_group_IT_number 1
_space_group_name_Hall 'P 1'
_cell_length_a 6.7949
_cell_length_b 6.7949
_cell_length_c 6.7949
_cell_angle_alpha 145.66
_cell_angle_beta 135.25
_cell_angle_gamma 57.60
loop_
_atom_site_label
_atom_site_fract_x
_atom_site_fract_y
_atom_site_fract_z
Na1 0.1698 0.1698 0.0000
Na2 0.8302 0.8302 0.0000
Tl1 0.5000 0.5000 0.0000
F1 0.0993 0.3438 0.7556
F2 0.2587 0.0000 0.2587
F3 0.4118 0.6562 0.7556
F4 0.5882 0.3438 0.2444
F5 0.7413 0.0000 0.7413
F6 0.9007 0.6562 0.2444
# - raw formation energy (meV/atom) = -2022
# - crystal system = orthorhombic
# - raw total energy (eV per formula unit) = -34.43

=====

4.
# C3SeBr (PBE, relaxed)
data_C3SeBr
_space_group_name_H-M_alt 'P 1'
_space_group_IT_number 1
_space_group_name_Hall 'P 1'
_cell_length_a 4.0480
_cell_length_b 4.0480
_cell_length_c 4.0480
_cell_angle_alpha 90.00
_cell_angle_beta 90.00
_cell_angle_gamma 90.00
loop_
_atom_site_label
_atom_site_fract_x
_atom_site_fract_y
_atom_site_fract_z
C1 0.0000 0.0000 0.5000
C2 0.0000 0.5000 0.0000
C3 0.5000 0.0000 0.0000
Se1 0.0000 0.0000 0.0000
Br1 0.5000 0.5000 0.5000
# - raw formation energy (meV/atom) = 3183
# - crystal system = cubic
# - raw total energy (eV per formula unit) = -16.91

=====

5.
# Mg2TaRh2 (PBE, relaxed)
data_Mg2TaRh2
_space_group_name_H-M_alt 'P 1'
_space_group_IT_number 1
_space_group_name_Hall 'P 1'
_cell_length_a 7.2758
_cell_length_b 7.2758
_cell_length_c 3.0989
_cell_angle_alpha 90.00
_cell_angle_beta 90.00
_cell_angle_gamma 90.00
loop_
_atom_site_label
_atom_site_fract_x
_atom_site_fract_y
_atom_site_fract_z
Mg1 0.1399 0.3601 0.0000
Mg2 0.3601 0.8601 0.0000
Mg3 0.6399 0.1399 0.0000
Mg4 0.8601 0.6399 0.0000
Ta1 0.0000 0.0000 0.5000
Ta2 0.5000 0.5000 0.5000
Rh1 0.1603 0.6603 0.5000
Rh2 0.3397 0.1603 0.5000
Rh3 0.6603 0.8397 0.5000
Rh4 0.8397 0.3397 0.5000
# - crystal system = tetragonal
# - raw total energy (eV per formula unit) = -30.94
# - E_form (eV per atom) = -0.24

=====

6.
# RbSBr2 (PBE, relaxed)
data_RbSBr2
_space_group_name_H-M_alt 'P 1'
_space_group_IT_number 1
_space_group_name_Hall 'P 1'
_cell_length_a 7.6681
_cell_length_b 7.6681
_cell_length_c 7.6681
_cell_angle_alpha 36.75
_cell_angle_beta 36.75
_cell_angle_gamma 36.75
loop_
_atom_site_label
_atom_site_fract_x
_atom_site_fract_y
_atom_site_fract_z
Rb1 0.0000 0.0000 0.0000
S1 0.5000 0.5000 0.5000
Br1 0.2390 0.2390 0.2390
Br2 0.7610 0.7610 0.7610
# - raw formation energy (meV/atom) = -241
# - crystal system = trigonal
# - raw total energy (eV per formula unit) = -9.40

=====

7.
# Li2LaBiO (PBE, relaxed)
data_Li2LaBiO
_space_group_name_H-M_alt 'P 1'
_space_group_IT_number 1
_space_group_name_Hall 'P 1'
_cell_length_a 4.6510
_cell_length_b 4.6510
_cell_length_c 4.7415
_cell_angle_alpha 90.00
_cell_angle_beta 90.00
_cell_angle_gamma 90.00
loop_
_atom_site_label
_atom_site_fract_x
_atom_site_fract_y
_atom_site_fract_z
Li1 0.0000 0.5000 0.0000
Li2 0.5000 0.0000 0.0000
La1 0.0000 0.0000 0.5000
Bi1 0.5000 0.5000 0.5000
O1 0.0000 0.0000 0.0000
# - raw formation energy (meV/atom) = -1495
# - crystal system = tetragonal
# - raw total energy (eV per formula unit) = -25.07

=====

8.
# Li5Zn2O5 (PBE, relaxed)
data_Li5Zn2O5
_space_group_name_H-M_alt 'P 1'
_space_group_IT_number 1
_space_group_name_Hall 'P 1'
_cell_length_a 5.1186
_cell_length_b 5.1186
_cell_length_c 8.5486
_cell_angle_alpha 105.75
_cell_angle_beta 105.75
_cell_angle_gamma 32.70
loop_
_atom_site_label
_atom_site_fract_x
_atom_site_fract_y
_atom_site_fract_z
Li1 0.0000 0.0000 0.0000
Li2 0.1582 0.1582 0.5561
Li3 0.2404 0.2404 0.8745
Li4 0.7596 0.7596 0.1255
Li5 0.8418 0.8418 0.4439
Zn1 0.4582 0.4582 0.7146
Zn2 0.5418 0.5418 0.2854
O1 0.1883 0.1883 0.3117
O2 0.3901 0.3901 0.0867
O3 0.5000 0.5000 0.5000
O4 0.6099 0.6099 0.9133
O5 0.8117 0.8117 0.6883
# - raw formation energy (meV/atom) = -1539
# - crystal system = monoclinic
# - raw total energy (eV per formula unit) = -55.38

=====

9.
# Pr5Zn2Ag (PBE, relaxed)
data_Pr5Zn2Ag
_space_group_name_H-M_alt 'P 1'
_space_group_IT_number 1
_space_group_name_Hall 'P 1'
_cell_length_a 9.6918
_cell_length_b 9.6918
_cell_length_c 9.6918
_cell_angle_alpha 133.82
_cell_angle_beta 133.82
_cell_angle_gamma 67.37
loop_
_atom_site_label
_atom_site_fract_x
_atom_site_fract_y
_atom_site_fract_z
Pr1 0.0000 0.0000 0.0000
Pr2 0.0191 0.5191 0.8371
Pr3 0.1820 0.0191 0.5000
Pr4 0.3180 0.8180 0.8371
Pr5 0.4809 0.3180 0.5000
Pr6 0.5000 0.5000 0.0000
Pr7 0.5191 0.6820 0.5000
Pr8 0.6820 0.1820 0.1629
Pr9 0.8180 0.9809 0.5000
Pr10 0.9809 0.4809 0.1629
Zn1 0.1189 0.3811 0.5000
Zn2 0.3811 0.8811 0.2621
Zn3 0.6189 0.1189 0.7379
Zn4 0.8811 0.6189 0.5000
Ag1 0.2500 0.2500 0.0000
Ag2 0.7500 0.7500 0.0000
# - crystal system = tetragonal
# - raw total energy (eV per formula unit) = -30.66
# - E_form (eV per atom) = -0.17

=====

10.
# Li8RhO6 (PBE, relaxed)
data_Li8RhO6
_space_group_name_H-M_alt 'P 1'
_space_group_IT_number 1
_space_group_name_Hall 'P 1'
_cell_length_a 5.9349
_cell_length_b 5.9349
_cell_length_c 5.9349
_cell_angle_alpha 54.82
_cell_angle_beta 54.82
_cell_angle_gamma 54.82
loop_
_atom_site_label
_atom_site_fract_x
_atom_site_fract_y
_atom_site_fract_z
Li1 0.0179 0.3985 0.7331
Li2 0.1597 0.1597 0.1597
Li3 0.2669 0.9821 0.6015
Li4 0.3985 0.7331 0.0179
Li5 0.6015 0.2669 0.9821
Li6 0.7331 0.0179 0.3985
Li7 0.8403 0.8403 0.8403
Li8 0.9821 0.6015 0.2669
Rh1 0.5000 0.5000 0.5000
O1 0.1152 0.7364 0.4103
O2 0.2636 0.5897 0.8848
O3 0.4103 0.1152 0.7364
O4 0.5897 0.8848 0.2636
O5 0.7364 0.4103 0.1152
O6 0.8848 0.2636 0.5897
# - raw formation energy (meV/atom) = -1646
# - crystal system = trigonal
# - raw total energy (eV per formula unit) = -77.10

=====

11.
# Ta2HgRu (PBE, relaxed)
data_Ta2HgRu
_space_group_name_H-M_alt 'P 1'
_space_group_IT_number 1
_space_group_name_Hall 'P 1'
_cell_length_a 5.5475
_cell_length_b 5.5475
_cell_length_c 5.5475
_cell_angle_alpha 147.22
_cell_angle_beta 129.06
_cell_angle_gamma 61.91
loop_
_atom_site_label
_atom_site_fract_x
_atom_site_fract_y
_atom_site_fract_z
Ta1 0.0000 0.0000 0.0000
Ta2 0.7485 0.2485 0.5000
Hg1 0.2717 0.7717 0.5000
Ru1 0.5249 0.5249 0.0000
# - crystal system = orthorhombic
# - raw total energy (eV per formula unit) = -32.51
# - E_form (eV per atom) = 0.19

=====

12.
# SnBiBOs2 (PBE, relaxed)
data_SnBiBOs2
_space_group_name_H-M_alt 'P 1'
_space_group_IT_number 1
_space_group_name_Hall 'P 1'
_cell_length_a 5.0283
_cell_length_b 5.0283
_cell_length_c 5.8383
_cell_angle_alpha 90.00
_cell_angle_beta 90.00
_cell_angle_gamma 90.00
loop_
_atom_site_label
_atom_site_fract_x
_atom_site_fract_y
_atom_site_fract_z
Sn1 0.0000 0.0000 0.0000
Bi1 0.0000 0.0000 0.5000
B1 0.5000 0.5000 0.0000
Os1 0.0000 0.5000 0.5000
Os2 0.5000 0.0000 0.5000
# - crystal system = tetragonal
# - raw total energy (eV per formula unit) = -21.18
# - E_form (eV per atom) = 3.17

=====

13.
# La5Nd2Ho2 (PBE, relaxed)
data_La5Nd2Ho2
_space_group_name_H-M_alt 'P 1'
_space_group_IT_number 1
_space_group_name_Hall 'P 1'
_cell_length_a 3.6878
_cell_length_b 3.6878
_cell_length_c 23.4695
_cell_angle_alpha 94.44
_cell_angle_beta 94.44
_cell_angle_gamma 90.60
loop_
_atom_site_label
_atom_site_fract_x
_atom_site_fract_y
_atom_site_fract_z
La1 0.0000 0.0000 0.0000
La2 0.2221 0.2221 0.4444
La3 0.4431 0.4431 0.8860
La4 0.5569 0.5569 0.1140
La5 0.7779 0.7779 0.5556
Nd1 0.1139 0.1139 0.2284
Nd2 0.8861 0.8861 0.7716
Ho1 0.3325 0.3325 0.6660
Ho2 0.6675 0.6675 0.3340
# - crystal system = monoclinic
# - raw total energy (eV per formula unit) = -43.11
# - E_form (eV per atom) = 0.02

=====

14.
# Ho3TlSn2 (PBE, relaxed)
data_Ho3TlSn2
_space_group_name_H-M_alt 'P 1'
_space_group_IT_number 1
_space_group_name_Hall 'P 1'
_cell_length_a 8.8383
_cell_length_b 8.8383
_cell_length_c 6.3395
_cell_angle_alpha 100.63
_cell_angle_beta 100.63
_cell_angle_gamma 41.75
loop_
_atom_site_label
_atom_site_fract_x
_atom_site_fract_y
_atom_site_fract_z
Ho1 0.1249 0.8751 0.7500
Ho2 0.2141 0.4436 0.4034
Ho3 0.4436 0.2141 0.9034
Ho4 0.5564 0.7859 0.0966
Ho5 0.7859 0.5564 0.5966
Ho6 0.8751 0.1249 0.2500
Tl1 0.3791 0.6209 0.2500
Tl2 0.6209 0.3791 0.7500
Sn1 0.0537 0.2719 0.0659
Sn2 0.2719 0.0537 0.5659
Sn3 0.7281 0.9463 0.4341
Sn4 0.9463 0.7281 0.9341
# - crystal system = monoclinic
# - raw total energy (eV per formula unit) = -27.17
# - E_form (eV per atom) = -0.51

=====

15.
# Rb2TlCrCl6 (PBE, relaxed)
data_Rb2TlCrCl6
_space_group_name_H-M_alt 'P 1'
_space_group_IT_number 1
_space_group_name_Hall 'P 1'
_cell_length_a 7.6190
_cell_length_b 7.6190
_cell_length_c 7.6190
_cell_angle_alpha 60.00
_cell_angle_beta 60.00
_cell_angle_gamma 60.00
loop_
_atom_site_label
_atom_site_fract_x
_atom_site_fract_y
_atom_site_fract_z
Rb1 0.2500 0.2500 0.2500
Rb2 0.7500 0.7500 0.7500
Tl1 0.0000 0.0000 0.0000
Cr1 0.5000 0.5000 0.5000
Cl1 0.2803 0.2803 0.7197
Cl2 0.2803 0.7197 0.2803
Cl3 0.2803 0.7197 0.7197
Cl4 0.7197 0.2803 0.2803
Cl5 0.7197 0.2803 0.7197
Cl6 0.7197 0.7197 0.2803
# - raw formation energy (meV/atom) = -1443
# - crystal system = cubic
# - raw total energy (eV per formula unit) = -39.44